No. 1
{"formula": "Na3Tl3Bi", "functional": "PBE", "state": "relaxed", "lattice": [[8.196, 0.000, 0.000], [0.000, 8.196, 0.000], [0.000, 0.000, 8.196]], "species": ["Tl", "Tl", "Na", "Na", "Bi", "Tl", "Na", "Bi", "Tl", "Tl", "Tl", "Na", "Na", "Na"], "fractional_positions": [[0.500, 0.250, 0.000], [0.000, 0.500, 0.750], [0.000, 0.250, 0.500], [0.500, 0.000, 0.250], [0.500, 0.500, 0.500], [0.000, 0.500, 0.250], [0.500, 0.000, 0.750], [0.000, 0.000, 0.000], [0.750, 0.000, 0.500], [0.250, 0.000, 0.500], [0.500, 0.750, 0.000], [0.750, 0.500, 0.000], [0.000, 0.750, 0.500], [0.250, 0.500, 0.000]], "m_tot_mub_per_cell": 0.000, "n_ef_per_ev_cell": 3.811, "total_energy_ev_per_cell": -23.70, "sg": "Pm-3n"}



No. 2
{"formula": "Na3Tl4Bi", "functional": "PBE", "state": "relaxed", "lattice": [[-3.043, -0.495, 1.681], [3.023, -3.427, 4.465], [1.757, 11.145, 2.792]], "species": ["Tl", "Bi", "Tl", "Na", "Tl", "Na", "Tl", "Na"], "fractional_positions": [[0.372, 0.124, 0.744], [0.500, 0.000, 0.000], [0.628, 0.876, 0.256], [0.762, 0.762, 0.523], [0.372, 0.620, 0.744], [0.238, 0.238, 0.477], [0.628, 0.380, 0.256], [0.000, 0.500, 0.000]], "m_tot_mub_per_cell": 0.000, "n_ef_per_ev_cell": 4.656, "total_energy_ev_per_cell": -17.83, "sg": "Immm"}



No. 3
{"formula": "Na2TlBi2", "functional": "PBE", "state": "relaxed", "lattice": [[5.267, 0.000, 0.000], [2.634, 5.843, 0.276], [2.634, 1.282, 10.783]], "species": ["Tl", "Bi", "Bi", "Tl", "Bi", "Na", "Na", "Na", "Na", "Bi"], "fractional_positions": [[0.206, 0.952, 0.635], [0.960, 0.199, 0.881], [0.871, 0.644, 0.613], [0.794, 0.048, 0.365], [0.040, 0.801, 0.119], [0.493, 0.702, 0.313], [0.339, 0.248, 0.073], [0.507, 0.298, 0.687], [0.661, 0.752, 0.927], [0.129, 0.356, 0.387]], "m_tot_mub_per_cell": 0.000, "n_ef_per_ev_cell": 4.137, "total_energy_ev_per_cell": -27.47, "sg": "C2/m"}



No. 4
{"formula": "Na2TlBi6", "functional": "PBE", "state": "relaxed", "lattice": [[4.040, -0.017, -0.016], [1.979, 8.972, -0.613], [1.979, -0.220, 8.990]], "species": ["Bi", "Bi", "Na", "Tl", "Bi", "Bi", "Bi", "Na", "Bi"], "fractional_positions": [[0.500, 0.640, 0.360], [0.675, 0.632, 0.023], [0.155, 0.337, 0.337], [0.000, 0.000, 0.000], [0.325, 0.977, 0.367], [0.500, 0.360, 0.640], [0.675, 0.023, 0.632], [0.845, 0.663, 0.663], [0.325, 0.367, 0.977]], "m_tot_mub_per_cell": 0.000, "n_ef_per_ev_cell": 3.450, "total_energy_ev_per_cell": -28.27, "sg": "C2/m"}



No. 5
{"formula": "Na12Tl6Bi", "functional": "PBE", "state": "relaxed", "lattice": [[-2.282, -5.357, -6.054], [3.348, -6.341, 4.374], [-7.362, -1.199, 3.862]], "species": ["Na", "Tl", "Na", "Tl", "Na", "Tl", "Na", "Na", "Na", "Na", "Bi", "Na", "Na", "Tl", "Tl", "Na", "Na", "Tl", "Na"], "fractional_positions": [[0.370, 0.027, 0.146], [0.280, 0.728, 0.887], [0.573, 0.194, 0.471], [0.720, 0.272, 0.113], [0.529, 0.427, 0.806], [0.728, 0.887, 0.280], [0.027, 0.146, 0.370], [0.471, 0.573, 0.194], [0.806, 0.529, 0.427], [0.630, 0.973, 0.854], [0.000, 0.000, 0.000], [0.194, 0.471, 0.573], [0.973, 0.854, 0.630], [0.887, 0.280, 0.728], [0.113, 0.720, 0.272], [0.854, 0.630, 0.973], [0.427, 0.806, 0.529], [0.272, 0.113, 0.720], [0.146, 0.370, 0.027]], "m_tot_mub_per_cell": 0.000, "n_ef_per_ev_cell": 8.442, "total_energy_ev_per_cell": -35.88, "sg": "R-3"}



No. 6
{"formula": "Na3Tl4Bi2", "functional": "PBE", "state": "relaxed", "lattice": [[-1.894, -1.921, -5.393], [3.529, -3.392, -3.486], [-0.506, -8.808, 2.812]], "species": ["Tl", "Bi", "Na", "Na", "Tl", "Tl", "Bi", "Tl", "Na"], "fractional_positions": [[0.114, 0.461, 0.330], [0.221, 0.856, 0.674], [0.453, 0.800, 0.339], [0.547, 0.200, 0.661], [0.886, 0.539, 0.670], [0.671, 0.666, 0.001], [0.779, 0.144, 0.326], [0.329, 0.334, 0.999], [0.000, 0.000, 0.000]], "m_tot_mub_per_cell": 0.000, "n_ef_per_ev_cell": 3.107, "total_energy_ev_per_cell": -22.70, "sg": "P-1"}